Record 1
# Sm8Tl2Te, optimized geometry, DFT PBE-GGA
# DOS at the Fermi energy	27.3	states/eV/cell
data_Sm8Tl2Te
_chemical_formula_sum 'Sm16 Tl4 Te2'
_symmetry_space_group_name_H-M 'C 1 2/m 1'
_symmetry_Int_Tables_number 12
_cell_length_a 18.5041
_cell_length_b 5.4186
_cell_length_c 6.9202
_cell_angle_alpha 90.00
_cell_angle_beta 93.12
_cell_angle_gamma 90.00
loop_
_symmetry_equiv_pos_as_xyz
'x,y,z'
'-x,-y,-z'
'-x,y,-z'
'x,-y,z'
'x+1/2,y+1/2,z'
'-x+1/2,-y+1/2,-z'
'-x+1/2,y+1/2,-z'
'x+1/2,-y+1/2,z'
loop_
_atom_site_label
_atom_site_type_symbol
_atom_site_fract_x
_atom_site_fract_y
_atom_site_fract_z
Sm1 Sm 0.0301 0.0000 0.2565
Sm2 Sm 0.0916 0.5000 0.9258
Sm3 Sm 0.1681 0.5000 0.4183
Sm4 Sm 0.2108 0.0000 0.1069
Tl1 Tl 0.1604 0.0000 0.6627
Te1 Te 0.0000 0.5000 0.5000


Record 2
Density functional theory data (PBE-GGA) for crystalline SmTlTe2 at its relaxed geometry.

Geometry as CIF:
```
data_SmTlTe2
_chemical_formula_sum 'Sm3 Tl3 Te6'
_symmetry_space_group_name_H-M 'R -3 m'
_symmetry_Int_Tables_number 166
_symmetry_space_group_name_Hall '-R 3 2"'
_cell_length_a 4.5269
_cell_length_b 4.5269
_cell_length_c 24.5288
_cell_angle_alpha 90.00
_cell_angle_beta 90.00
_cell_angle_gamma 120.00
loop_
_atom_site_label
_atom_site_type_symbol
_atom_site_fract_x
_atom_site_fract_y
_atom_site_fract_z
Sm1 Sm 0.0000 0.0000 0.0000
Tl1 Tl 0.0000 0.0000 0.5000
Te1 Te 0.0000 0.0000 0.2607
```


Record 3
# Sm5TlTe4, optimized geometry, DFT PBE-GGA
# DOS at the Fermi energy	12.4	states/eV/cell
# polymorph energy (0 for the lowest one)	0.0348	eV/atom
data_Sm5TlTe4
_chemical_formula_sum 'Sm10 Tl2 Te8'
_symmetry_space_group_name_H-M 'I 4/m m m'
_symmetry_Int_Tables_number 139
_symmetry_space_group_name_Hall '-I 4 2'
_cell_length_a 4.4510
_cell_length_b 4.4510
_cell_length_c 31.6120
_cell_angle_alpha 90.00
_cell_angle_beta 90.00
_cell_angle_gamma 90.00
loop_
_atom_site_label
_atom_site_type_symbol
_atom_site_fract_x
_atom_site_fract_y
_atom_site_fract_z
Sm1 Sm 0.0000 0.0000 0.0000
Sm2 Sm 0.0000 0.0000 0.2016
Sm3 Sm 0.0000 0.0000 0.4023
Tl1 Tl 0.0000 0.0000 0.5000
Te1 Te 0.0000 0.0000 0.1017
Te2 Te 0.0000 0.0000 0.3016


no.,uncorrected formation energy (eV per atom),uncorrected energy (eV for the cell shown)
1,-0.35,-98.9
2,-1.07,-52.9
3,-1.18,-100.7